(1)
## Tc3Ru2 (PBE-GGA)

Data for an optimized crystal structure of Tc3Ru2.

## Properties
- SG = R-3m

Cell: 11.2784 11.2784 11.2784 Å, 13.86 13.86 13.86°
Element x y z (fractional)
Tc1 0.0000 0.0000 0.0000
Tc2 0.1994 0.1994 0.1994
Tc3 0.8006 0.8006 0.8006
Ru1 0.3992 0.3992 0.3992
Ru2 0.6008 0.6008 0.6008


(2)
## TcRu3 (PBE-GGA)

Data for an optimized crystal structure of TcRu3.

## Properties
- SG = Pmmn

Cell: 5.4465 13.1479 4.7206 Å, 90.00 90.00 90.00°
Element x y z (fractional)
Tc1 0.2500 0.0884 0.1689
Tc2 0.2500 0.4116 0.1689
Tc3 0.2500 0.7500 0.5016
Tc4 0.7500 0.2500 0.4984
Tc5 0.7500 0.5884 0.8311
Tc6 0.7500 0.9116 0.8311
Ru1 0.9998 0.0865 0.6632
Ru2 0.9995 0.2500 0.9989
Ru3 0.9998 0.4135 0.6632
Ru4 0.0002 0.5865 0.3368
Ru5 0.0005 0.7500 0.0011
Ru6 0.0002 0.9135 0.3368
Ru7 0.2500 0.2500 0.4999
Ru8 0.2500 0.5863 0.8328
Ru9 0.2500 0.9137 0.8328
Ru10 0.5002 0.0865 0.6632
Ru11 0.5005 0.2500 0.9989
Ru12 0.5002 0.4135 0.6632
Ru13 0.4998 0.5865 0.3368
Ru14 0.4995 0.7500 0.0011
Ru15 0.4998 0.9135 0.3368
Ru16 0.7500 0.0863 0.1672
Ru17 0.7500 0.4137 0.1672
Ru18 0.7500 0.7500 0.5001


(3)
## Tc2Ru (PBE-GGA)

Data for an optimized crystal structure of Tc2Ru.

## Properties
- SG = Fd-3m

Cell: 5.0361 5.0361 5.0361 Å, 60.00 60.00 60.00°
Element x y z (fractional)
Tc1 0.0000 0.0000 0.0000
Tc2 0.0000 0.0000 0.5000
Tc3 0.0000 0.5000 0.0000
Tc4 0.5000 0.0000 0.0000
Ru1 0.3750 0.3750 0.3750
Ru2 0.6250 0.6250 0.6250


(4)
## TcRu2 (PBE-GGA)

Data for an optimized crystal structure of TcRu2.

## Properties
- SG = C2/m

Cell: 5.1246 5.1246 6.4325 Å, 103.12 103.12 30.97°
Element x y z (fractional)
Tc1 0.1939 0.1939 0.1401
Tc2 0.8061 0.8061 0.8599
Ru1 0.1388 0.1388 0.5277
Ru2 0.4716 0.4716 0.1945
Ru3 0.5284 0.5284 0.8055
Ru4 0.8612 0.8612 0.4723


(5)
## TcRu5 (PBE-GGA)

Data for an optimized crystal structure of TcRu5.

## Properties
- SG = Cmmm

Cell: 6.0609 6.0609 3.8219 Å, 90.00 90.00 143.10°
Element x y z (fractional)
Tc1 0.0000 0.0000 0.0000
Ru1 0.1665 0.8335 0.5000
Ru2 0.3335 0.6665 0.0000
Ru3 0.5000 0.5000 0.5000
Ru4 0.6665 0.3335 0.0000
Ru5 0.8335 0.1665 0.5000


(6)
## Tc7Ru (PBE-GGA)

Data for an optimized crystal structure of Tc7Ru.

## Properties
- SG = Fm-3m

Cell: 5.4808 5.4808 5.4808 Å, 60.00 60.00 60.00°
Element x y z (fractional)
Tc1 0.0000 0.0000 0.0000
Tc2 0.0000 0.0000 0.5000
Tc3 0.0000 0.5000 0.0000
Tc4 0.0000 0.5000 0.5000
Tc5 0.5000 0.0000 0.0000
Tc6 0.5000 0.0000 0.5000
Tc7 0.5000 0.5000 0.0000
Ru1 0.5000 0.5000 0.5000


(7)
## TcRu3 (PBE-GGA)

Data for an optimized crystal structure of TcRu3.

## Properties
- SG = Pmm2

Cell: 2.7375 4.3320 4.7319 Å, 90.00 90.00 90.00°
Element x y z (fractional)
Tc1 0.0000 0.0000 0.0000
Ru1 0.0000 0.5000 0.6690
Ru2 0.5000 0.0000 0.5086
Ru3 0.5000 0.5000 0.1694


(8)
## TcRu5 (PBE-GGA)

Data for an optimized crystal structure of TcRu5.

## Properties
- SG = Cm

Cell: 5.1132 5.1132 6.4169 Å, 103.14 103.14 30.95°
Element x y z (fractional)
Tc1 0.0000 0.0000 0.0000
Ru1 0.2770 0.2770 0.0539
Ru2 0.3329 0.3329 0.6659
Ru3 0.6105 0.6105 0.7210
Ru4 0.6668 0.6668 0.3323
Ru5 0.9445 0.9445 0.3869


(9)
## Tc2Ru (PBE-GGA)

Data for an optimized crystal structure of Tc2Ru.

## Properties
- SG = I4/mmm

Cell: 6.1253 6.1253 6.1253 Å, 154.31 154.31 36.65°
Element x y z (fractional)
Tc1 0.1644 0.1644 0.0000
Tc2 0.8356 0.8356 0.0000
Ru1 0.5000 0.5000 0.0000


(10)
## Tc4Ru (PBE-GGA)

Data for an optimized crystal structure of Tc4Ru.

## Properties
- SG = I4/m

Cell: 4.7366 4.7366 4.7366 Å, 99.62 99.62 131.73°
Element x y z (fractional)
Tc1 0.1032 0.7011 0.8043
Tc2 0.2989 0.1032 0.4021
Tc3 0.7011 0.8968 0.5979
Tc4 0.8968 0.2989 0.1957
Ru1 0.5000 0.5000 0.0000


(11)
## Tc5Ru3 (PBE-GGA)

Data for an optimized crystal structure of Tc5Ru3.

## Properties
- SG = Cmmm

Cell: 5.4574 5.4574 3.8555 Å, 90.00 90.00 90.01°
Element x y z (fractional)
Tc1 0.0000 0.0000 0.0000
Tc2 0.0000 0.5000 0.0000
Tc3 0.2520 0.2520 0.5000
Tc4 0.5000 0.0000 0.0000
Tc5 0.7480 0.7480 0.5000
Ru1 0.2519 0.7481 0.5000
Ru2 0.5000 0.5000 0.0000
Ru3 0.7481 0.2519 0.5000


(12)
## Tc4Ru3 (PBE-GGA)

Data for an optimized crystal structure of Tc4Ru3.

## Properties
- SG = P6/mmm

Cell: 4.9912 4.9912 4.7804 Å, 90.00 90.00 120.00°
Element x y z (fractional)
Tc1 0.0000 0.0000 0.2393
Tc2 0.0000 0.0000 0.7607
Tc3 0.3333 0.6667 0.0000
Tc4 0.6667 0.3333 0.0000
Ru1 0.0000 0.5000 0.5000
Ru2 0.5000 0.0000 0.5000
Ru3 0.5000 0.5000 0.5000


Formation energy? In order: 0.06 0.01 0.35 -0.05 0.09 0.07 -0.05 -0.04 0.06 0.06 0.06 0.23 eV/atom.
VASP energy? In order: -49.3 -38.1 -29.0 -29.1 -56.2 -81.3 -38.4 -57.0 -29.8 -50.4 -79.2 -67.7 eV/f.u..